1.
Here is crystalline ScCd2Fe at its relaxed geometry from the Alexandria database. Energies are from PBE.

calculated formation energy = 0.106 eV/atom
uncorrected energy = -4.05 eV/atom

abc: 3.2310 4.9447 9.5085
angles: 90.00 90.00 90.00
Last column: nearest neighbours and their distance in Å.
Fractional positions:
Sc (0.0000, 0.0000, 0.0000)  2 Fe 2.65
Sc (0.5000, 0.5000, 0.5000)  2 Fe 2.65
Cd (0.0000, 0.0000, 0.5469)  2 Fe 2.73, 4 Sc 2.99, 2 Cd 3.00
Cd (0.0000, 0.5000, 0.7808)  4 Fe 2.95, 4 Cd 3.00-3.23, 4 Sc 3.12-3.23
Cd (0.5000, 0.0000, 0.2808)  4 Fe 2.95, 4 Cd 3.00-3.23, 4 Sc 3.12-3.23
Cd (0.5000, 0.5000, 0.0469)  2 Fe 2.73, 4 Sc 2.99, 2 Cd 3.00
Fe (0.0000, 0.5000, 0.2788)  2 Sc 2.65, 6 Cd 2.73-2.95
Fe (0.5000, 0.0000, 0.7788)  2 Sc 2.65, 6 Cd 2.73-2.95


2.
Here is crystalline Zn2AsAu at its relaxed geometry from the Alexandria database. Energies are from PBE.

calculated formation energy = 0.032 eV/atom
uncorrected energy = -2.59 eV/atom

abc: 5.6411 5.6411 12.2657
angles: 90.00 90.00 90.00
Last column: nearest neighbours and their distance in Å.
Fractional positions:
Zn (0.2172, 0.2500, 0.1250)  2 As 2.42, 2 Au 2.62
Zn (0.2500, 0.7172, 0.3750)  2 As 2.42, 2 Au 2.62
Zn (0.2500, 0.7828, 0.8750)  2 As 2.42, 2 Au 2.62
Zn (0.2828, 0.2500, 0.6250)  2 As 2.42, 2 Au 2.62
Zn (0.7172, 0.7500, 0.6250)  2 As 2.42, 2 Au 2.62
Zn (0.7500, 0.2172, 0.8750)  2 As 2.42, 2 Au 2.62
Zn (0.7500, 0.2828, 0.3750)  2 As 2.42, 2 Au 2.62
Zn (0.7828, 0.7500, 0.1250)  2 As 2.42, 2 Au 2.62
As (0.0000, 0.0000, 0.0000)  4 Zn 2.42
As (0.0000, 0.5000, 0.2500)  4 Zn 2.42
As (0.5000, 0.0000, 0.7500)  4 Zn 2.42
As (0.5000, 0.5000, 0.5000)  4 Zn 2.42
Au (0.0000, 0.0000, 0.5000)  4 Zn 2.62
Au (0.0000, 0.5000, 0.7500)  4 Zn 2.62
Au (0.5000, 0.0000, 0.2500)  4 Zn 2.62
Au (0.5000, 0.5000, 0.0000)  4 Zn 2.62


3.
Here is crystalline TbYTc at its relaxed geometry from the Alexandria database. Energies are from PBE.

energy above the lowest structure with this stoichiometry = 104.5 meV per atom
calculated formation energy = 0.086 eV/atom
uncorrected energy = -7.07 eV/atom

abc: 6.9512 6.9512 7.7201
angles: 90.00 90.00 121.02
Last column: nearest neighbours and their distance in Å.
Fractional positions:
Tb (0.1939, 0.8061, 0.8879)  2 Tc 2.78-2.90
Tb (0.3061, 0.6939, 0.3879)  2 Tc 2.78-2.90
Tb (0.6939, 0.3061, 0.6121)  2 Tc 2.78-2.90
Tb (0.8061, 0.1939, 0.1121)  2 Tc 2.78-2.90
Y (0.2012, 0.2988, 0.7500)  4 Tc 2.90-2.94
Y (0.2988, 0.2012, 0.2500)  4 Tc 2.90-2.94
Y (0.7012, 0.7988, 0.7500)  4 Tc 2.90-2.94
Y (0.7988, 0.7012, 0.2500)  4 Tc 2.90-2.94
Tc (0.0990, 0.9010, 0.5437)  1 Tc 2.49, 1 Tb 2.78
Tc (0.4010, 0.5990, 0.0437)  1 Tc 2.49, 1 Tb 2.78
Tc (0.5990, 0.4010, 0.9563)  1 Tc 2.49, 1 Tb 2.78
Tc (0.9010, 0.0990, 0.4563)  1 Tc 2.49, 1 Tb 2.78


4.
Here is crystalline Rb2LiPuCl4O2 at its relaxed geometry from the Alexandria database. Energies are from PBE.

energy above the lowest structure with this stoichiometry = 3.8 meV per atom
formation energy without anion corrections = -2.1112 eV/atom
uncorrected energy = -5.66 eV/atom

abc: 6.8545 6.8545 7.6132
angles: 123.72 123.72 68.33
Last column: nearest neighbours and their distance in Å.
Fractional positions:
Rb (0.2498, 0.2498, 0.2486)  8 Cl 3.42-3.44, 1 O 3.80
Rb (0.7502, 0.7502, 0.7514)  8 Cl 3.42-3.44, 1 O 3.80
Li (0.0000, 0.0000, 0.5000)  2 O 2.38, 4 Cl 2.63
Pu (0.5000, 0.5000, 0.0000)  2 O 1.83
Cl (0.2409, 0.7576, 0.7431)  1 Li 2.63, 1 Pu 2.79
Cl (0.2424, 0.7591, 0.2569)  1 Li 2.63, 1 Pu 2.79
Cl (0.7576, 0.2409, 0.7431)  1 Li 2.63, 1 Pu 2.79
Cl (0.7591, 0.2424, 0.2569)  1 Li 2.63, 1 Pu 2.79
O (0.2830, 0.2830, 0.7843)  1 Pu 1.83
O (0.7170, 0.7170, 0.2157)  1 Pu 1.83


5.
Here is crystalline TiPtBr2 at its relaxed geometry from the Alexandria database. Energies are from PBE.

energy above the lowest structure with this stoichiometry = 0.0 meV per atom
formation energy without anion corrections = -0.2017 eV/atom
uncorrected energy = -4.52 eV/atom

abc: 3.2983 3.2983 25.8735
angles: 90.00 90.00 120.00
Last column: nearest neighbours and their distance in Å.
Fractional positions:
Ti (0.0000, 0.0000, 0.0000)  6 Br 2.60
Ti (0.3333, 0.6667, 0.6667)  6 Br 2.60
Ti (0.6667, 0.3333, 0.3333)  6 Br 2.60
Pt (0.0000, 0.0000, 0.5000)  2 Br 2.54
Pt (0.3333, 0.6667, 0.1667)  2 Br 2.54
Pt (0.6667, 0.3333, 0.8333)  2 Br 2.54
Br (0.0000, 0.0000, 0.4017)  1 Pt 2.54, 3 Ti 2.60
Br (0.0000, 0.0000, 0.5983)  1 Pt 2.54, 3 Ti 2.60
Br (0.3333, 0.6667, 0.0684)  1 Pt 2.54, 3 Ti 2.60
Br (0.3333, 0.6667, 0.2649)  1 Pt 2.54, 3 Ti 2.60
Br (0.6667, 0.3333, 0.7351)  1 Pt 2.54, 3 Ti 2.60
Br (0.6667, 0.3333, 0.9316)  1 Pt 2.54, 3 Ti 2.60